! BaV2PbO8, relaxed, DFT PBE+U; values from VASP
&SYSTEM
  ibrav = 0, nat = 12, ntyp = 4
/
ATOMIC_SPECIES
O 16.00 O.upf
Ba 137.33 Ba.upf
Pb 207.20 Pb.upf
V 50.94 V.upf
CELL_PARAMETERS angstrom
-3.179 0.434 4.512
2.856 -4.650 -0.938
5.964 2.872 3.926
ATOMIC_POSITIONS crystal
O 0.253 0.925 0.684
O 0.925 0.672 0.316
O 0.747 0.075 0.316
O 0.333 0.667 0.964
Ba 0.000 0.000 0.000
O 0.667 0.333 0.036
O 0.075 0.328 0.684
Pb 0.000 0.000 0.500
V 0.667 0.333 0.254
O 0.672 0.747 0.684
V 0.333 0.667 0.746
O 0.328 0.253 0.316
! electronic total energy	-82.5	eV for the cell shown
! N(E_F)	0.000	states/eV/atom